Record 1
Computed, not measured: a geometry-optimized Ac4Pm3Dy2 structure at the PBE-GGA level of DFT.

Unit cell a=5.402 b=6.460 c=11.321 alpha=74.73 beta=90.00 gamma=65.36
Atoms (fractional coordinates):
Ac1 0.997 0.007 0.668
Pm1 0.666 0.668 0.552
Ac2 0.666 0.668 0.889
Pm2 0.000 0.000 0.000
Pm3 0.334 0.332 0.448
Ac3 0.334 0.332 0.111
Dy1 0.329 0.343 0.772
Dy2 0.671 0.657 0.228
Ac4 0.003 0.993 0.332

SG   P-1
Formation enthalpy at 0 K   0.44 eV/f.u.
VASP energy   -4.384 eV/atom

Record 2
Computed, not measured: a geometry-optimized CaTmHg2 structure at the PBE-GGA level of DFT.

Unit cell a=3.870 b=3.870 c=9.113 alpha=77.74 beta=77.74 gamma=60.00
Atoms (fractional coordinates):
Hg1 0.087 0.087 0.739
Ca1 0.666 0.666 0.001
Tm1 0.500 0.500 0.500
Hg2 0.247 0.247 0.260

SG   R3m
Formation enthalpy at 0 K   -1.44 eV/f.u.
VASP energy   -2.130 eV/atom

Record 3
Computed, not measured: a geometry-optimized CaHg2Ir2 structure at the PBE-GGA level of DFT.

Unit cell a=7.787 b=7.787 c=3.283 alpha=90.00 beta=90.00 gamma=90.00
Atoms (fractional coordinates):
Hg1 0.176 0.676 0.500
Ca1 0.000 0.000 0.000
Ir1 0.121 0.379 0.000
Hg2 0.324 0.176 0.500
Ir2 0.879 0.621 0.000
Ca2 0.500 0.500 0.000
Ir3 0.621 0.121 0.000
Hg3 0.676 0.824 0.500
Ir4 0.379 0.879 0.000
Hg4 0.824 0.324 0.500

SG   P4/mbm
Formation enthalpy at 0 K   0.67 eV/f.u.
VASP energy   -3.932 eV/atom

Record 4
Computed, not measured: a geometry-optimized Ba2AlBi structure at the PBE-GGA level of DFT.

Unit cell a=6.019 b=6.019 c=6.019 alpha=60.00 beta=60.00 gamma=60.00
Atoms (fractional coordinates):
Ba1 0.250 0.250 0.250
Ba2 0.750 0.750 0.750
Bi1 0.500 0.500 0.500
Al1 0.000 0.000 0.000

SG   Fm-3m
Formation enthalpy at 0 K   -1.48 eV/f.u.
VASP energy   -3.237 eV/atom

Record 5
Computed, not measured: a geometry-optimized Ce2InN structure at the PBE-GGA level of DFT.

Unit cell a=3.117 b=3.117 c=8.168 alpha=90.00 beta=90.00 gamma=90.00
Last column: magnetic moment on the atom in μB.
Atoms (fractional coordinates):
In1 0.500 0.500 0.500  -0.01
Ce1 0.000 0.000 0.178  0.45
N1 0.500 0.500 0.000  -0.03
Ce2 0.000 0.000 0.822  0.45

SG   P4/mmm
ΔE_f (raw)   -59 kJ per mole of atoms
VASP energy   -6.341 eV/atom

Record 6
Computed, not measured: a geometry-optimized Sr2Ge3Pt4Rh structure at the PBE-GGA level of DFT.

Unit cell a=4.402 b=4.402 c=10.348 alpha=90.00 beta=90.00 gamma=90.00
Atoms (fractional coordinates):
Sr1 0.500 0.000 0.254
Pt1 0.000 0.000 0.000
Rh1 0.500 0.500 0.500
Ge1 0.500 0.000 0.874
Pt2 0.500 0.500 0.000
Ge2 0.000 0.000 0.500
Pt3 0.000 0.500 0.364
Pt4 0.500 0.000 0.636
Ge3 0.000 0.500 0.126
Sr2 0.000 0.500 0.746

SG   P-4m2
Formation enthalpy at 0 K   -6.83 eV/f.u.
VASP energy   -5.556 eV/atom

Record 7
Computed, not measured: a geometry-optimized MgTl2Cl structure at the PBE-GGA level of DFT.

Unit cell a=5.473 b=5.473 c=5.473 alpha=60.00 beta=60.00 gamma=60.00
Atoms (fractional coordinates):
Tl1 0.750 0.750 0.750
Tl2 0.250 0.250 0.250
Mg1 0.000 0.000 0.000
Cl1 0.500 0.500 0.500

SG   Fm-3m
ΔE_f (raw)   -18 kJ per mole of atoms
VASP energy   -2.235 eV/atom

Record 8
Computed, not measured: a geometry-optimized PrSm4Sc3 structure at the PBE-GGA level of DFT.

Unit cell a=6.123 b=7.151 c=11.179 alpha=90.00 beta=90.00 gamma=90.00
Atoms (fractional coordinates):
Sm1 0.148 0.866 0.500
Sc1 0.479 0.385 0.751
Sc2 0.979 0.615 0.749
Sm2 0.987 0.133 0.743
Sc3 0.479 0.385 0.249
Pr1 0.652 0.617 0.500
Pr2 0.152 0.383 0.000
Sm3 0.487 0.867 0.757
Sc4 0.979 0.615 0.251
Sm4 0.648 0.134 0.000
Sm5 0.132 0.864 0.000
Sc5 0.151 0.383 0.500
Sm6 0.487 0.867 0.243
Sm7 0.632 0.136 0.500
Sc6 0.651 0.617 0.000
Sm8 0.987 0.133 0.257

SG   Pmn2_1
Formation enthalpy at 0 K   0.46 eV/f.u.
VASP energy   -5.274 eV/atom